Run a
# RbPaPO | OQMD via LeMat-Bulk | PBE-GGA | optimized geometry
data_RbPaPO
_cell_length_a 4.412
_cell_length_b 8.370
_cell_length_c 7.020
_cell_angle_alpha 90.00
_cell_angle_beta 90.00
_cell_angle_gamma 90.00
_space_group_name_H-M_alt 'P 1'
_space_group_IT_number 1
loop_
_space_group_symop_operation_xyz
'x,y,z'
loop_
_atom_site_label
_atom_site_type_symbol
_atom_site_fract_x
_atom_site_fract_y
_atom_site_fract_z
P1 P 0.500 0.275 0.428
P2 P 0.500 0.725 0.928
O1 O 0.000 0.101 0.844
O2 O 0.000 0.899 0.344
Rb1 Rb 0.500 0.669 0.453
Rb2 Rb 0.500 0.331 0.953
Pa1 Pa 0.000 0.890 0.028
Pa2 Pa 0.000 0.110 0.528
# V   259.3 Å³/cell

***

Run b
# RbPaPO | OQMD via LeMat-Bulk | PBE-GGA | optimized geometry
data_RbPaPO
_cell_length_a 5.636
_cell_length_b 5.636
_cell_length_c 5.478
_cell_angle_alpha 90.00
_cell_angle_beta 90.00
_cell_angle_gamma 90.00
_space_group_name_H-M_alt 'P 1'
_space_group_IT_number 1
loop_
_space_group_symop_operation_xyz
'x,y,z'
loop_
_atom_site_label
_atom_site_type_symbol
_atom_site_fract_x
_atom_site_fract_y
_atom_site_fract_z
O1 O 0.250 0.750 0.000
O2 O 0.750 0.250 0.000
P1 P 0.250 0.250 0.502
P2 P 0.750 0.750 0.498
Rb1 Rb 0.250 0.250 0.002
Rb2 Rb 0.750 0.750 0.998
Pa1 Pa 0.750 0.250 0.500
Pa2 Pa 0.250 0.750 0.500
# V   174.0 Å³/cell

***

Going by the energies, run a is most stable and the next is 697 meV/atom up.

***

Run a
# RbPaPO | OQMD via LeMat-Bulk | PBE-GGA | optimized geometry
data_RbPaPO
_cell_length_a 4.112
_cell_length_b 4.112
_cell_length_c 10.304
_cell_angle_alpha 90.00
_cell_angle_beta 90.00
_cell_angle_gamma 90.00
_space_group_name_H-M_alt 'P 1'
_space_group_IT_number 1
loop_
_space_group_symop_operation_xyz
'x,y,z'
loop_
_atom_site_label
_atom_site_type_symbol
_atom_site_fract_x
_atom_site_fract_y
_atom_site_fract_z
Rb1 Rb 0.750 0.250 0.500
Rb2 Rb 0.250 0.750 0.500
P1 P 0.750 0.750 0.255
P2 P 0.250 0.250 0.745
O1 O 0.250 0.750 0.000
O2 O 0.750 0.250 0.000
Pa1 Pa 0.750 0.750 0.877
Pa2 Pa 0.250 0.250 0.123
# V   174.2 Å³/cell

***

Run b
# RbPaPO | OQMD via LeMat-Bulk | PBE-GGA | optimized geometry
data_RbPaPO
_cell_length_a 4.041
_cell_length_b 7.874
_cell_length_c 7.269
_cell_angle_alpha 90.00
_cell_angle_beta 90.00
_cell_angle_gamma 90.00
_space_group_name_H-M_alt 'P 1'
_space_group_IT_number 1
loop_
_space_group_symop_operation_xyz
'x,y,z'
loop_
_atom_site_label
_atom_site_type_symbol
_atom_site_fract_x
_atom_site_fract_y
_atom_site_fract_z
P1 P 0.500 0.818 0.330
P2 P 0.500 0.182 0.830
Pa1 Pa 0.500 0.134 0.462
Pa2 Pa 0.500 0.866 0.962
Rb1 Rb 0.000 0.422 0.065
Rb2 Rb 0.000 0.578 0.565
O1 O 0.000 0.757 0.897
O2 O 0.000 0.243 0.397
# V   231.2 Å³/cell

***

Going by the energies, run b is most stable and the next is 38 meV/atom up.

***

Run a
# PaSbPO | OQMD via LeMat-Bulk | PBE-GGA | optimized geometry
data_PaSbPO
_cell_length_a 4.036
_cell_length_b 4.036
_cell_length_c 9.861
_cell_angle_alpha 90.00
_cell_angle_beta 90.00
_cell_angle_gamma 90.00
_space_group_name_H-M_alt 'P 1'
_space_group_IT_number 1
loop_
_space_group_symop_operation_xyz
'x,y,z'
loop_
_atom_site_label
_atom_site_type_symbol
_atom_site_fract_x
_atom_site_fract_y
_atom_site_fract_z
O1 O 0.500 0.000 0.000
O2 O 0.000 0.500 0.000
P1 P 0.000 0.000 0.745
P2 P 0.500 0.500 0.255
Pa1 Pa 0.000 0.000 0.135
Pa2 Pa 0.500 0.500 0.865
Sb1 Sb 0.000 0.500 0.500
Sb2 Sb 0.500 0.000 0.500
# V   160.7 Å³/cell

***

Run b
# PaSbPO | OQMD via LeMat-Bulk | PBE-GGA | optimized geometry
data_PaSbPO
_cell_length_a 4.421
_cell_length_b 6.384
_cell_length_c 7.031
_cell_angle_alpha 90.00
_cell_angle_beta 90.00
_cell_angle_gamma 90.00
_space_group_name_H-M_alt 'P 1'
_space_group_IT_number 1
loop_
_space_group_symop_operation_xyz
'x,y,z'
loop_
_atom_site_label
_atom_site_type_symbol
_atom_site_fract_x
_atom_site_fract_y
_atom_site_fract_z
Sb1 Sb 0.500 0.739 0.101
Sb2 Sb 0.500 0.261 0.601
O1 O 0.000 0.644 0.753
O2 O 0.000 0.356 0.253
P1 P 0.500 0.873 0.442
P2 P 0.500 0.127 0.942
Pa1 Pa 0.000 0.391 0.958
Pa2 Pa 0.000 0.609 0.458
# V   198.4 Å³/cell

***

Run c
# PaSbPO | OQMD via LeMat-Bulk | PBE-GGA | optimized geometry
data_PaSbPO
_cell_length_a 4.739
_cell_length_b 4.739
_cell_length_c 6.992
_cell_angle_alpha 90.00
_cell_angle_beta 90.00
_cell_angle_gamma 90.00
_space_group_name_H-M_alt 'P 1'
_space_group_IT_number 1
loop_
_space_group_symop_operation_xyz
'x,y,z'
loop_
_atom_site_label
_atom_site_type_symbol
_atom_site_fract_x
_atom_site_fract_y
_atom_site_fract_z
O1 O 0.500 0.500 0.000
O2 O 0.000 0.000 0.000
P1 P 0.500 0.000 0.303
P2 P 0.000 0.500 0.697
Pa1 Pa 0.000 0.000 0.500
Pa2 Pa 0.500 0.500 0.500
Sb1 Sb 0.000 0.500 0.076
Sb2 Sb 0.500 0.000 0.924
# V   157.0 Å³/cell

***

Going by the energies, run a is most stable and the next is 141 meV/atom up.